1.
Below is SbIrBr after structural relaxation, with properties calculated at the PBE-GGA level.

Computed properties:
* total moment: 0.0 μB per formula unit
* uncorrected formation energy: -0.135 eV/f.u.
* symmetry: P2_1/c, No. 14

abc: 7.087 6.367 6.712
angles: 90.00 106.91 90.00
Sites, in units of the cell vectors:
Sb 0.122 0.135 0.364
Sb 0.122 0.365 0.864
Sb 0.878 0.635 0.136
Sb 0.878 0.865 0.636
Ir 0.234 0.010 0.748
Ir 0.234 0.490 0.248
Ir 0.766 0.510 0.752
Ir 0.766 0.990 0.252
Br 0.373 0.646 0.636
Br 0.373 0.854 0.136
Br 0.627 0.146 0.864
Br 0.627 0.354 0.364

***

2.
Below is Hf5MnZn4 after structural relaxation, with properties calculated at the PBE-GGA level.

Computed properties:
* DFT formation energy: -0.209 eV/atom
* total moment: 0.0 μB per formula unit
* symmetry: P4/mmm, No. 123

abc: 3.263 3.263 16.509
angles: 90.00 90.00 90.00
Sites, in units of the cell vectors:
Hf 0.000 0.000 0.000
Hf 0.000 0.000 0.204
Hf 0.000 0.000 0.409
Hf 0.000 0.000 0.591
Hf 0.000 0.000 0.796
Mn 0.500 0.500 0.500
Zn 0.500 0.500 0.101
Zn 0.500 0.500 0.305
Zn 0.500 0.500 0.695
Zn 0.500 0.500 0.899

***

3.
Below is AcCeGe4 after structural relaxation, with properties calculated at the PBE-GGA level.

Computed properties:
* DFT formation energy: -0.369 eV/atom
* total moment: 0.4 μB per formula unit
* symmetry: F-43m, No. 216

abc: 5.775 5.775 5.775
angles: 60.00 60.00 60.00
Sites, in units of the cell vectors:
Ac 0.000 0.000 0.000
Ce 0.250 0.250 0.250
Ge 0.132 0.623 0.623
Ge 0.623 0.132 0.623
Ge 0.623 0.623 0.132
Ge 0.623 0.623 0.623

***

4.
Below is YCr2Si after structural relaxation, with properties calculated at the PBE-GGA level.

Computed properties:
* total moment: 0.0 μB per formula unit
* uncorrected formation energy: 1.793 eV/f.u.
* symmetry: Cmmm, No. 65

abc: 2.850 2.850 8.000
angles: 90.00 90.00 104.41
Sites, in units of the cell vectors:
Y 0.000 0.000 0.000
Cr 0.500 0.500 0.300
Cr 0.500 0.500 0.700
Si 0.000 0.000 0.500

***

5.
Below is Pm4BSe3 after structural relaxation, with properties calculated at the PBE-GGA level.

Computed properties:
* total moment: 0.0 μB per formula unit
* uncorrected formation energy: -11.700 eV/f.u.
* symmetry: P2/c, No. 13

abc: 7.234 8.334 7.118
angles: 90.00 109.40 90.00
Sites, in units of the cell vectors:
Pm 0.223 0.111 0.003
Pm 0.223 0.889 0.503
Pm 0.233 0.352 0.478
Pm 0.233 0.648 0.978
Pm 0.767 0.352 0.022
Pm 0.767 0.648 0.522
Pm 0.777 0.111 0.497
Pm 0.777 0.889 0.997
B 0.000 0.128 0.250
B 0.000 0.872 0.750
Se 0.000 0.377 0.750
Se 0.000 0.623 0.250
Se 0.500 0.126 0.750
Se 0.500 0.377 0.250
Se 0.500 0.623 0.750
Se 0.500 0.874 0.250

***

6.
Below is Pu5Se6 after structural relaxation, with properties calculated at the PBE-GGA level.

Computed properties:
* total moment: 5.5 μB per formula unit
* uncorrected formation energy: -16.094 eV/f.u.
* symmetry: C2/m, No. 12

abc: 7.185 7.185 7.170
angles: 99.61 99.61 119.91
Sites, in units of the cell vectors:
Pu 0.000 0.000 0.000
Pu 0.167 0.833 0.500
Pu 0.335 0.665 0.000
Pu 0.665 0.335 0.000
Pu 0.833 0.167 0.500
Se 0.080 0.416 0.251
Se 0.246 0.246 0.750
Se 0.416 0.080 0.251
Se 0.584 0.920 0.749
Se 0.754 0.754 0.250
Se 0.920 0.584 0.749

***

7.
Below is PaMnS after structural relaxation, with properties calculated at the PBE-GGA level.

Computed properties:
* total moment: 0.3 μB per formula unit
* uncorrected formation energy: -1.470 eV/f.u.
* symmetry: P-1, No. 2

abc: 3.803 4.361 8.794
angles: 89.17 89.08 70.93
Sites, in units of the cell vectors:
Pa 0.246 0.247 0.128
Pa 0.754 0.753 0.872
Mn 0.255 0.254 0.817
Mn 0.745 0.746 0.183
S 0.240 0.743 0.323
S 0.760 0.257 0.677

***

8.
Below is CdNiBr2 after structural relaxation, with properties calculated at the PBE-GGA level.

Computed properties:
* total moment: 0.2 μB per formula unit
* uncorrected formation energy: -0.313 eV/f.u.
* symmetry: Cmmm, No. 65

abc: 4.103 4.103 9.477
angles: 90.00 90.00 131.48
Sites, in units of the cell vectors:
Cd 0.000 0.000 0.000
Ni 0.000 0.000 0.500
Br 0.500 0.500 0.329
Br 0.500 0.500 0.671

***

9.
Below is La2Pm5Pd4 after structural relaxation, with properties calculated at the PBE-GGA level.

Computed properties:
* DFT formation energy: -0.359 eV/atom
* total moment: 0.0 μB per formula unit
* symmetry: C2/m, No. 12

abc: 12.821 12.821 7.013
angles: 92.91 92.91 16.53
Sites, in units of the cell vectors:
La 0.092 0.092 0.163
La 0.908 0.908 0.837
Pm 0.134 0.134 0.675
Pm 0.234 0.234 0.249
Pm 0.500 0.500 0.500
Pm 0.766 0.766 0.751
Pm 0.866 0.866 0.325
Pd 0.026 0.026 0.815
Pd 0.327 0.327 0.017
Pd 0.673 0.673 0.983
Pd 0.974 0.974 0.185

***

10.
Below is BaScIr2O8 after structural relaxation, with properties calculated at the PBE-GGA level.

Computed properties:
* total moment: 1.1 μB per formula unit
* uncorrected formation energy: -16.157 eV/f.u.
* symmetry: P-3, No. 147

abc: 5.657 5.657 7.595
angles: 90.00 90.00 120.00
Sites, in units of the cell vectors:
Ba 0.000 0.000 0.000
Sc 0.000 0.000 0.500
Ir 0.333 0.667 0.731
Ir 0.667 0.333 0.269
O 0.070 0.311 0.680
O 0.241 0.930 0.680
O 0.311 0.241 0.320
O 0.333 0.667 0.974
O 0.667 0.333 0.026
O 0.689 0.759 0.680
O 0.759 0.070 0.320
O 0.930 0.689 0.320

***

11.
Below is Li2Ac2TlO6 after structural relaxation, with properties calculated at the PBE-GGA level.

Computed properties:
* total moment: 1.1 μB per formula unit
* uncorrected formation energy: -21.403 eV/f.u.
* symmetry: R-3m, No. 166

abc: 6.434 6.434 6.434
angles: 54.41 54.41 54.41
Sites, in units of the cell vectors:
Li 0.073 0.073 0.073
Li 0.927 0.927 0.927
Ac 0.287 0.287 0.287
Ac 0.713 0.713 0.713
Tl 0.500 0.500 0.500
O 0.248 0.248 0.717
O 0.248 0.717 0.248
O 0.283 0.752 0.752
O 0.717 0.248 0.248
O 0.752 0.283 0.752
O 0.752 0.752 0.283

***

12.
Below is Rb4Cd12HgPt3 after structural relaxation, with properties calculated at the PBE-GGA level.

Computed properties:
* DFT formation energy: -0.174 eV/atom
* total moment: 0.0 μB per formula unit
* symmetry: Im-3m, No. 229

abc: 9.357 9.357 9.357
angles: 109.47 109.47 109.47
Sites, in units of the cell vectors:
Rb 0.000 0.000 0.500
Rb 0.000 0.500 0.000
Rb 0.500 0.000 0.000
Rb 0.500 0.500 0.500
Cd 0.000 0.258 0.258
Cd 0.000 0.742 0.742
Cd 0.250 0.500 0.750
Cd 0.250 0.750 0.500
Cd 0.258 0.000 0.258
Cd 0.258 0.258 0.000
Cd 0.500 0.250 0.750
Cd 0.500 0.750 0.250
Cd 0.742 0.000 0.742
Cd 0.742 0.742 0.000
Cd 0.750 0.250 0.500
Cd 0.750 0.500 0.250
Hg 0.000 0.000 0.000
Pt 0.000 0.500 0.500
Pt 0.500 0.000 0.500
Pt 0.500 0.500 0.000

***

13.
Below is CoTcHg2 after structural relaxation, with properties calculated at the PBE-GGA level.

Computed properties:
* DFT formation energy: 0.680 eV/atom
* total moment: 2.3 μB per formula unit
* symmetry: Cmmm, No. 65

abc: 5.029 5.029 2.855
angles: 90.00 90.00 109.63
Sites, in units of the cell vectors:
Co 0.000 0.000 0.000
Tc 0.500 0.500 0.000
Hg 0.000 0.500 0.500
Hg 0.500 0.000 0.500

***

14.
Below is CaSc3Al after structural relaxation, with properties calculated at the PBE-GGA level.

Computed properties:
* DFT formation energy: 0.270 eV/atom
* total moment: 0.0 μB per formula unit
* symmetry: Pm-3m, No. 221

abc: 5.305 5.305 5.305
angles: 90.00 90.00 90.00
Sites, in units of the cell vectors:
Ca 0.000 0.000 0.000
Sc 0.000 0.500 0.500
Sc 0.500 0.000 0.500
Sc 0.500 0.500 0.000
Al 0.500 0.500 0.500

***

15.
Below is ZnTc2Cl after structural relaxation, with properties calculated at the PBE-GGA level.

Computed properties:
* total moment: 0.0 μB per formula unit
* uncorrected formation energy: 2.055 eV/f.u.
* symmetry: Cm, No. 8

abc: 5.354 5.354 5.001
angles: 117.22 117.22 30.56
Sites, in units of the cell vectors:
Zn 0.000 0.000 0.000
Tc 0.246 0.246 0.598
Tc 0.522 0.522 0.527
Cl 0.798 0.798 0.270

***

16.
Below is TbPm6Er4 after structural relaxation, with properties calculated at the PBE-GGA level.

Computed properties:
* DFT formation energy: 0.307 eV/atom
* total moment: 0.0 μB per formula unit
* symmetry: I-42m, No. 121

abc: 9.730 9.730 9.730
angles: 140.01 140.01 57.83
Sites, in units of the cell vectors:
Tb 0.000 0.000 0.000
Pm 0.000 0.500 0.500
Pm 0.013 0.634 0.000
Pm 0.366 0.366 0.379
Pm 0.500 0.000 0.500
Pm 0.634 0.013 0.000
Pm 0.987 0.987 0.621
Er 0.195 0.195 0.642
Er 0.446 0.805 0.000
Er 0.554 0.554 0.358
Er 0.805 0.446 0.000

***

17.
Below is SrRu2Rh after structural relaxation, with properties calculated at the PBE-GGA level.

Computed properties:
* DFT formation energy: 0.675 eV/atom
* total moment: 1.6 μB per formula unit
* symmetry: Pmmm, No. 47

abc: 2.939 4.792 4.983
angles: 90.00 90.00 90.00
Sites, in units of the cell vectors:
Sr 0.000 0.000 0.000
Ru 0.000 0.500 0.500
Ru 0.500 0.000 0.500
Rh 0.500 0.500 0.000

***

18.
Below is Dy2GaPt3 after structural relaxation, with properties calculated at the PBE-GGA level.

Computed properties:
* DFT formation energy: -1.104 eV/atom
* total moment: 0.0 μB per formula unit
* symmetry: R-3m, No. 166

abc: 5.303 5.303 5.303
angles: 63.13 63.13 63.13
Sites, in units of the cell vectors:
Dy 0.125 0.125 0.125
Dy 0.875 0.875 0.875
Ga 0.500 0.500 0.500
Pt 0.000 0.500 0.500
Pt 0.500 0.000 0.500
Pt 0.500 0.500 0.000

***

19.
Below is Cr2Os after structural relaxation, with properties calculated at the PBE-GGA level.

Computed properties:
* DFT formation energy: 0.671 eV/atom
* total moment: 3.0 μB per formula unit
* symmetry: Fm-3m, No. 225

abc: 4.054 4.054 4.054
angles: 60.00 60.00 60.00
Sites, in units of the cell vectors:
Cr 0.250 0.250 0.250
Cr 0.750 0.750 0.750
Os 0.000 0.000 0.000

***

20.
Below is LaTl2Pb after structural relaxation, with properties calculated at the PBE-GGA level.

Computed properties:
* DFT formation energy: -0.208 eV/atom
* total moment: 0.0 μB per formula unit
* symmetry: F-43m, No. 216

abc: 5.597 5.597 5.597
angles: 60.00 60.00 60.00
Sites, in units of the cell vectors:
La 0.000 0.000 0.000
Tl 0.250 0.250 0.250
Tl 0.500 0.500 0.500
Pb 0.750 0.750 0.750

***

21.
Below is Mn2Si after structural relaxation, with properties calculated at the PBE-GGA level.

Computed properties:
* total moment: 0.0 μB per formula unit
* uncorrected formation energy: -0.903 eV/f.u.
* symmetry: C2/m, No. 12

abc: 4.444 4.444 6.199
angles: 109.08 109.08 34.97
Sites, in units of the cell vectors:
Mn 0.150 0.150 0.041
Mn 0.181 0.181 0.630
Mn 0.819 0.819 0.370
Mn 0.850 0.850 0.959
Si 0.477 0.477 0.713
Si 0.523 0.523 0.287

***

22.
Below is Pm2Cd2In3 after structural relaxation, with properties calculated at the PBE-GGA level.

Computed properties:
* DFT formation energy: -0.358 eV/atom
* total moment: 0.0 μB per formula unit
* symmetry: Cmcm, No. 63

abc: 10.631 10.631 7.682
angles: 90.00 90.00 154.43
Sites, in units of the cell vectors:
Pm 0.047 0.953 0.750
Pm 0.156 0.844 0.250
Pm 0.844 0.156 0.750
Pm 0.953 0.047 0.250
Cd 0.312 0.688 0.054
Cd 0.312 0.688 0.446
Cd 0.688 0.312 0.554
Cd 0.688 0.312 0.946
In 0.222 0.778 0.750
In 0.438 0.562 0.567
In 0.438 0.562 0.933
In 0.562 0.438 0.067
In 0.562 0.438 0.433
In 0.778 0.222 0.250

***

23.
Below is KTeSI2 after structural relaxation, with properties calculated at the PBE-GGA level.

Computed properties:
* total moment: 0.0 μB per formula unit
* uncorrected formation energy: -2.275 eV/f.u.
* symmetry: P4/mmm, No. 123

abc: 6.297 6.297 5.052
angles: 90.00 90.00 90.00
Sites, in units of the cell vectors:
K 0.000 0.000 0.000
Te 0.500 0.500 0.500
S 0.500 0.500 0.000
I 0.000 0.500 0.500
I 0.500 0.000 0.500

***

24.
Below is Tc2NiBr after structural relaxation, with properties calculated at the PBE-GGA level.

Computed properties:
* total moment: 0.0 μB per formula unit
* uncorrected formation energy: 4.164 eV/f.u.
* symmetry: P4/mmm, No. 123

abc: 3.729 3.729 4.320
angles: 90.00 90.00 90.00
Sites, in units of the cell vectors:
Tc 0.000 0.500 0.000
Tc 0.500 0.000 0.000
Ni 0.000 0.000 0.500
Br 0.500 0.500 0.500